MoN2F: optimized geometry, GGA+U.

Cell lengths 5.914, 5.914, 5.914 Å; angles 123.78, 123.78, 83.56 degrees
Element x y z (fractional)
Mo: 0.000 0.000 0.000
Mo: 0.750 0.250 0.500
N: 0.375 0.223 0.348
N: 0.777 0.125 0.152
N: 0.875 0.027 0.652
N: 0.973 0.625 0.848
F: 0.250 0.750 0.500
F: 0.500 0.500 0.000

The calculation puts the total magnetization at 1.000 μB per formula unit. The energy relative to the lowest polymorph listed for this composition comes out at 0.000 eV per atom.